[1]
{"formula": "La4OsI5", "functional": "GGA-PBE", "state": "optimized geometry", "lattice": [[9.908, -2.201, 0.000], [9.908, 2.201, 0.000], [-2.232, 0.000, 9.150]], "species": ["La", "La", "La", "La", "Os", "I", "I", "I", "I", "I"], "frac_coords": [[0.000, 0.000, 0.212], [0.000, 0.000, 0.788], [0.360, 0.360, 0.927], [0.640, 0.640, 0.073], [0.500, 0.500, 0.000], [0.169, 0.169, 0.341], [0.173, 0.173, 0.832], [0.500, 0.500, 0.500], [0.827, 0.827, 0.168], [0.831, 0.831, 0.659]], "crystal_system": "monoclinic"}

[2]
{"formula": "La10Os2I15", "functional": "GGA-PBE", "state": "optimized geometry", "lattice": [[10.144, 0.000, 0.000], [-3.854, 10.456, 0.000], [-4.827, -2.255, 10.649]], "species": ["La", "La", "La", "La", "La", "La", "La", "La", "La", "La", "Os", "Os", "I", "I", "I", "I", "I", "I", "I", "I", "I", "I", "I", "I", "I", "I", "I"], "frac_coords": [[0.025, 0.206, 0.097], [0.088, 0.545, 0.331], [0.165, 0.249, 0.823], [0.226, 0.582, 0.054], [0.300, 0.906, 0.277], [0.700, 0.094, 0.723], [0.774, 0.418, 0.946], [0.835, 0.751, 0.177], [0.912, 0.455, 0.669], [0.975, 0.794, 0.903], [0.032, 0.675, 0.120], [0.968, 0.325, 0.880], [0.093, 0.041, 0.341], [0.145, 0.387, 0.582], [0.216, 0.739, 0.817], [0.266, 0.088, 0.056], [0.342, 0.444, 0.303], [0.389, 0.799, 0.534], [0.433, 0.153, 0.771], [0.500, 0.500, 0.000], [0.567, 0.847, 0.229], [0.611, 0.201, 0.466], [0.658, 0.556, 0.697], [0.734, 0.912, 0.944], [0.784, 0.261, 0.183], [0.855, 0.613, 0.418], [0.907, 0.959, 0.659]], "crystal_system": "triclinic"}

no.,calculated total energy (eV per atom)
1,-5.057
2,-4.794